PRu2Pt | PBE | relaxed

Cell lengths 4.4821, 4.4821, 4.4821 Å; angles 126.70, 126.70, 78.74 degrees
Fractional coordinates of all 4 atoms:
P  0.0000  0.0000  0.0000
Ru  0.2500  0.7500  0.5000
Ru  0.7500  0.2500  0.5000
Pt  0.5000  0.5000  0.0000

Properties
The symmetry is No. 139. For the size of the total moment, the calculation gives 0.00 μB/atom. Its crystal system is tetragonal. The formation energy is 2.20 kcal/mol of atoms.